No. 1
## LaTmHgRu (PBE)

Data for a relaxed LaTmHgRu crystal.

For the energy of formation, the calculation gives -291 meV/atom.

It has space group F-43m (No. 216), with a = 7.2526 Å, b = 7.2526 Å, c = 7.2526 Å, α = 90.00°, β = 90.00° and γ = 90.00°. The distinct sites, in fractional coordinates, are La at (0.0000, 0.0000, 0.0000), Tm at (0.0000, 0.0000, 0.5000), Hg at (0.2500, 0.2500, 0.2500) and Ru at (0.2500, 0.2500, 0.7500).



No. 2
## Tl2SiRh2 (PBE)

Data for a relaxed Tl2SiRh2 crystal.

As for the formation energy without anion corrections: -0.03 eV per atom.

It has space group P4/mbm (No. 127), with a = 6.4327 Å, b = 6.4327 Å, c = 4.5164 Å, α = 90.00°, β = 90.00° and γ = 90.00°. The distinct sites, in fractional coordinates, are Tl at (0.1630, 0.3370, 0.0000), Si at (0.0000, 0.0000, 0.5000) and Rh at (0.1639, 0.6639, 0.5000).



Results for magnetic moment: 0.0, 0.0 (in Bohr magnetons per cell, following the order of the records).
Results for E_tot: -5.04, -5.00 (in eV/atom, following the order of the records).
Results for D(E_F): 3.398, 2.962 (in states/eV/f.u., following the order of the records).